Record 1
# Co2AsRu

A relaxed structure of Co2AsRu (PBE, the Alexandria database).

DFT formation energy: 0.142 eV per atom

Geometry as POSCAR:
```
Co2AsRu
1.0
2.9588 0.0000 0.0000
0.0000 4.1374 0.0000
0.0000 0.0000 4.1680
As Co Ru
1 2 1
Cartesian
0.0000 2.0687 2.0840
0.0000 0.0000 0.0000
1.4794 2.0687 0.0000
1.4794 0.0000 2.0840
```

---

Record 2
# CoAsRu2

A relaxed structure of CoAsRu2 (PBE, the Alexandria database).

DFT formation energy: 0.162 eV per atom

Geometry as POSCAR:
```
CoAsRu2
1.0
2.7934 0.0000 0.0000
0.0000 3.6453 0.0000
0.0000 0.0000 5.3009
As Co Ru
1 1 2
Cartesian
0.0000 0.0000 2.7292
1.3967 1.8226 4.0193
0.0000 0.0000 5.2125
1.3967 1.8226 1.2912
```

---

Record 3
# CoAsRu

A relaxed structure of CoAsRu (PBE, the Alexandria database).

ΔE to the lowest computed polymorph: 251.0 meV per atom
DFT formation energy: 0.146 eV per atom

Geometry as POSCAR:
```
CoAsRu
1.0
4.4521 -0.0005 0.0022
1.9515 4.0016 -0.0022
-2.9079 -2.4709 2.2934
As Co Ru
1 1 1
Cartesian
6.3832 3.9883 0.0000
4.3140 2.6955 0.0000
2.1100 1.3184 0.0000
```

---

Record 4
# Co3AsRu

A relaxed structure of Co3AsRu (PBE, the Alexandria database).

ΔE to the lowest computed polymorph: 0.0 meV per atom
DFT formation energy: 0.980 eV per atom

Geometry as POSCAR:
```
Co3AsRu
1.0
-0.0413 -3.1730 -2.8570
3.5582 -1.6048 1.7309
-2.3601 -2.3640 2.6597
Ru As Co
1 1 3
Cartesian
0.5784 -3.5710 0.7668
0.0000 0.0000 0.0000
1.7791 -0.8024 0.8655
-1.1800 -1.1820 1.3298
-0.0207 -1.5865 -1.4285
```

---

Record 5
# Co2AsRu

A relaxed structure of Co2AsRu (PBE, the Alexandria database).

DFT formation energy: 0.424 eV per atom

Geometry as POSCAR:
```
Co2AsRu
1.0
-0.4503 2.1415 1.6300
1.6215 -1.9411 1.0240
6.4243 3.7229 -3.1163
As Co Ru
1 2 1
Cartesian
5.4662 2.9285 -1.0405
0.0307 0.0178 -0.0149
2.1159 0.9870 0.5847
3.1949 1.8514 -1.5498
```

---

Record 6
# Co2AsRu

A relaxed structure of Co2AsRu (PBE, the Alexandria database).

DFT formation energy: 0.111 eV per atom

Geometry as POSCAR:
```
Co2AsRu
1.0
4.8398 0.0021 0.0001
2.1529 4.3346 -0.0001
-3.0612 -2.8700 2.4116
As Co Ru
1 2 1
Cartesian
1.2275 1.7752 1.2058
0.1798 0.1115 0.0000
2.6764 -0.3257 1.2058
3.3441 2.0739 0.0000
```

---

Record 7
# CoAs6Ru

A relaxed structure of CoAs6Ru (PBE, the Alexandria database).

DFT formation energy: -0.247 eV per atom

Geometry as POSCAR:
```
CoAs6Ru
1.0
-5.7806 3.8083 2.4133
-2.0841 -4.6389 -5.2801
2.8887 -3.7675 5.5087
Co As Ru
2 12 2
Cartesian
-1.0421 -2.3195 -2.6400
-2.8903 1.9041 1.2066
0.0897 -5.5429 1.3601
-5.0657 0.9447 1.2818
-4.8330 -1.6405 1.3924
-0.1430 -2.9577 1.2494
-3.0636 -0.1525 4.7460
-1.9125 -4.4457 -2.1042
-2.7881 -4.5422 0.3261
-2.1879 -0.0560 2.3158
-5.0031 -1.8017 -1.8898
0.0270 -2.7965 4.5317
-2.3917 -3.0520 3.6501
-2.5844 -1.5462 -1.0082
1.4443 -1.8838 2.7543
-2.4880 -2.2991 1.3209
```

---

Record 8
# CoAsRu2

A relaxed structure of CoAsRu2 (PBE, the Alexandria database).

DFT formation energy: 0.247 eV per atom

Geometry as POSCAR:
```
CoAsRu2
1.0
-5.9249 -1.4512 5.4263
-6.2413 -3.7042 3.7392
-4.3221 -3.7528 5.8217
As Co Ru
1 1 2
Cartesian
-4.1221 -2.2270 3.7468
-12.3662 -6.6811 11.2404
-16.4641 -8.8951 14.9652
-8.2683 -4.4671 7.5156
```

---

Record 9
# CoAsRu2

A relaxed structure of CoAsRu2 (PBE, the Alexandria database).

DFT formation energy: 0.160 eV per atom

Geometry as POSCAR:
```
CoAsRu2
1.0
-3.5277 0.4785 3.6282
-1.9488 -4.2384 2.0187
4.1703 2.7844 -0.8324
As Co Ru
1 1 2
Cartesian
-1.0478 0.6915 2.8096
-0.2583 -1.6670 2.0049
-5.3163 -3.6500 5.4818
-2.8983 -1.9899 2.9886
```

---

Record 10
# CoAsRu2

A relaxed structure of CoAsRu2 (PBE, the Alexandria database).

DFT formation energy: 0.097 eV per atom

Geometry as POSCAR:
```
CoAsRu2
1.0
4.2460 -0.0009 0.0000
0.0033 4.2460 0.0000
0.0000 0.0000 2.9419
As Co Ru
1 1 2
Cartesian
2.1230 -0.0004 1.4709
0.0016 2.1230 1.4709
0.0000 0.0000 0.0000
2.1247 2.1226 0.0000
```

---

Record 11
# Co2AsRu

A relaxed structure of Co2AsRu (PBE, the Alexandria database).

DFT formation energy: 0.126 eV per atom

Geometry as POSCAR:
```
Co2AsRu
1.0
-2.3160 -1.2566 2.7813
-1.8133 -0.8186 -1.8798
1.1958 -4.7628 -1.1562
As Co Ru
1 2 1
Cartesian
-1.6211 -4.8144 -0.8863
-0.4136 -5.4552 -2.8091
-0.5127 -2.9169 -1.7448
-1.3124 -2.0237 0.6317
```

---

Record 12
# CoAsRu2

A relaxed structure of CoAsRu2 (PBE, the Alexandria database).

DFT formation energy: 0.082 eV per atom

Geometry as POSCAR:
```
CoAsRu2
1.0
-3.4232 0.6426 1.4770
-1.1841 -0.8821 -2.3606
-0.6975 -5.2548 0.6696
As Co Ru
1 1 2
Cartesian
-0.7248 -3.1120 -0.3261
-3.0452 -4.0752 -0.4397
-0.0737 -0.0726 -0.1392
-2.4019 -1.3031 -0.1546
```

---

Record 13
# CoAsRu2

A relaxed structure of CoAsRu2 (PBE, the Alexandria database).

DFT formation energy: 0.473 eV per atom

Geometry as POSCAR:
```
CoAsRu2
1.0
2.7869 0.0231 0.0000
-1.2917 2.4696 0.0000
0.0000 0.0000 8.2830
As Co Ru
1 1 2
Cartesian
0.7476 1.2463 2.0707
0.7476 1.2463 6.2122
0.0000 0.0000 0.0162
0.0000 0.0000 4.1253
```

---

Record 14
# CoAsRu2

A relaxed structure of CoAsRu2 (PBE, the Alexandria database).

DFT formation energy: 0.128 eV per atom

Geometry as POSCAR:
```
CoAsRu2
1.0
-0.5377 4.4546 -0.8509
-0.6715 3.0731 -3.3108
-4.4209 -0.0031 0.2422
As Co Ru
1 1 2
Cartesian
-2.7338 3.7666 -1.9666
-1.4014 1.9632 -1.0263
-1.2441 7.5219 -4.1565
-4.2750 5.5628 -2.8915
```

---

Record 15
# CoAsRu2

A relaxed structure of CoAsRu2 (PBE, the Alexandria database).

DFT formation energy: 0.148 eV per atom

Geometry as POSCAR:
```
CoAsRu2
1.0
-2.4952 -3.5797 -0.5988
-0.8818 -3.9811 1.6650
-3.5986 1.1583 2.7701
As Co Ru
1 1 2
Cartesian
-5.2317 -4.8019 2.8772
-1.7439 -1.6006 0.9591
-3.3975 -7.4820 1.0947
-3.4673 -3.2801 1.8895
```

---

Record 16
# CoAsRu2

A relaxed structure of CoAsRu2 (PBE, the Alexandria database).

DFT formation energy: 0.468 eV per atom

Geometry as POSCAR:
```
CoAsRu2
1.0
-1.0595 -1.9534 1.6356
-0.4069 -0.2236 -2.7199
7.1135 -4.4434 -0.6989
As Co Ru
1 1 2
Cartesian
3.6199 -2.2611 -0.3557
4.5438 -4.3848 -1.0606
7.0528 -4.4055 -0.6929
1.1008 -2.2341 -0.7224
```

---

Record 17
# Co2AsRu

A relaxed structure of Co2AsRu (PBE, the Alexandria database).

DFT formation energy: 0.079 eV per atom

Geometry as POSCAR:
```
Co2AsRu
1.0
-1.7902 0.5740 4.5418
-2.0731 -3.8978 2.1613
4.0753 1.8729 -2.0114
As Co Ru
1 2 1
Cartesian
0.0353 -1.8434 1.7507
-0.0918 -0.0790 0.1593
-1.8399 -1.5829 3.1923
0.1768 0.3925 2.9410
```

---

Record 18
# CoAs2Ru2

A relaxed structure of CoAs2Ru2 (PBE, the Alexandria database).

DFT formation energy: 0.145 eV per atom

Geometry as POSCAR:
```
CoAs2Ru2
1.0
-7.0266 0.5559 -0.1842
-0.3830 -2.6847 6.5086
0.1834 2.6892 1.1201
Ru As Co
4 4 2
Cartesian
-1.1810 -0.3084 4.7372
-4.7740 -0.5893 6.0000
-6.0452 0.8688 2.7073
-2.4522 1.1497 1.4446
-2.7456 -2.0762 5.4343
-6.1864 -1.2897 4.1095
-4.6640 -0.0527 0.8901
-1.2233 -0.8391 2.2149
0.0000 0.0000 0.0000
-3.7048 -1.0644 3.1622
```

---

Record 19
# CoAsRu2

A relaxed structure of CoAsRu2 (PBE, the Alexandria database).

DFT formation energy: 0.299 eV per atom

Geometry as POSCAR:
```
CoAsRu2
1.0
4.2796 0.0000 0.0000
2.1398 3.7062 0.0000
2.1398 1.2354 3.4943
As Co Ru
1 1 2
Cartesian
4.2796 2.4708 1.7471
6.4194 3.7062 2.6207
0.0000 0.0000 0.0000
2.1398 1.2354 0.8736
```

---

Record 20
# Co2AsRu

A relaxed structure of Co2AsRu (PBE, the Alexandria database).

DFT formation energy: 0.114 eV per atom

Geometry as POSCAR:
```
Co2AsRu
1.0
-2.5733 -0.2582 -1.6098
-0.7266 -2.5066 1.5634
-2.6680 3.1212 3.7643
As Co Ru
1 2 1
Cartesian
-3.6622 0.9718 2.8160
-0.0466 0.0546 0.0658
-2.2317 -0.7017 0.7977
-1.3612 1.5925 1.9206
```

---

Record 21
# CoAsRu2

A relaxed structure of CoAsRu2 (PBE, the Alexandria database).

DFT formation energy: 0.143 eV per atom

Geometry as POSCAR:
```
CoAsRu2
1.0
-0.8099 -0.7313 2.6473
0.2247 -2.7684 -0.6960
6.2586 0.0249 1.9216
As Co Ru
1 1 2
Cartesian
3.2296 0.0128 0.9916
4.2476 -1.7318 2.3697
6.2166 0.0247 1.9087
1.3675 -1.7432 1.4854
```

---

Record 22
# CoAsRu2

A relaxed structure of CoAsRu2 (PBE, the Alexandria database).

DFT formation energy: 0.115 eV per atom

Geometry as POSCAR:
```
CoAsRu2
1.0
4.5821 0.0091 0.0000
1.4852 4.3347 0.0000
-3.0336 -2.1719 2.6600
As Co Ru
1 1 2
Cartesian
3.0336 2.1719 0.0000
2.2910 0.0045 1.3300
0.0000 0.0000 0.0000
0.7426 2.1673 1.3300
```

---

Record 23
# Co4AsRu

A relaxed structure of Co4AsRu (PBE, the Alexandria database).

DFT formation energy: 0.313 eV per atom

Geometry as POSCAR:
```
Co4AsRu
1.0
-1.4479 -2.5589 3.7185
-1.3971 2.1744 3.9739
-4.5789 -0.0171 1.2269
Co As Ru
4 1 1
Cartesian
-2.3513 -0.2425 4.9608
-3.9413 -1.3375 3.5882
-4.6394 -0.2510 5.5739
-3.9159 1.0277 3.7158
0.0000 0.0000 0.0000
-1.8560 -0.1004 2.2298
```

---

Record 24
# CoAs3Ru

A relaxed structure of CoAs3Ru (PBE, the Alexandria database).

ΔE to the lowest computed polymorph: 0.0 meV per atom
DFT formation energy: 0.704 eV per atom

Geometry as POSCAR:
```
CoAs3Ru
1.0
4.4651 0.0000 0.0000
0.0000 4.4651 0.0000
0.0000 0.0000 4.4651
Ru As Co
1 3 1
Cartesian
2.2326 2.2326 2.2326
0.0000 2.2326 0.0000
0.0000 0.0000 2.2326
2.2326 0.0000 0.0000
0.0000 0.0000 0.0000
```

---

Record 25
# Co2AsRu

A relaxed structure of Co2AsRu (PBE, the Alexandria database).

DFT formation energy: 0.090 eV per atom

Geometry as POSCAR:
```
Co2AsRu
1.0
4.1511 0.0000 0.0000
2.0756 3.5950 0.0000
2.0756 1.1983 3.3894
As Co Ru
1 2 1
Cartesian
4.1511 2.3966 1.6947
0.0000 0.0000 0.0000
6.2267 3.5950 2.5420
2.0756 1.1983 0.8473
```

---

Record 26
# Co2AsRu

A relaxed structure of Co2AsRu (PBE, the Alexandria database).

DFT formation energy: 0.229 eV per atom

Geometry as POSCAR:
```
Co2AsRu
1.0
-4.6538 1.9167 -6.2147
-6.5834 1.0092 -4.4267
-5.6852 3.6394 -4.2880
As Co Ru
1 2 1
Cartesian
-12.6480 4.9070 -11.1584
-0.0029 0.0011 -0.0025
-4.2885 1.6638 -3.7834
-8.4443 3.2761 -7.4497
```

---

Record 27
# CoAsRu2

A relaxed structure of CoAsRu2 (PBE, the Alexandria database).

DFT formation energy: 0.097 eV per atom

Geometry as POSCAR:
```
CoAsRu2
1.0
-0.0140 3.1859 -3.7931
-4.2986 0.6873 -2.3638
2.3327 0.2967 4.3599
As Co Ru
1 1 2
Cartesian
-2.1102 1.8952 -3.0126
-2.1920 1.5779 -0.7281
-0.0168 0.0151 -0.0239
0.1828 2.6184 -1.1108
```

---

Record 28
# Co2AsRu

A relaxed structure of Co2AsRu (PBE, the Alexandria database).

DFT formation energy: 0.216 eV per atom

Geometry as POSCAR:
```
Co2AsRu
1.0
8.0008 -0.0064 -0.0038
7.5378 2.6823 -0.0038
7.5378 1.2981 2.3473
As Co Ru
1 2 1
Cartesian
17.3073 2.9804 1.7548
0.0957 0.0165 0.0097
11.4426 1.9705 1.1601
5.7691 0.9935 0.5849
```

---

Record 29
# Co2AsRu

A relaxed structure of Co2AsRu (PBE, the Alexandria database).

DFT formation energy: 0.136 eV per atom

Geometry as POSCAR:
```
Co2AsRu
1.0
-3.8336 -1.8187 -1.4098
0.6815 -1.9275 -3.9764
2.1962 -0.3532 3.8786
As Co Ru
1 2 1
Cartesian
-1.6067 -2.0225 -0.1122
0.0000 0.0000 0.0000
-1.5761 -1.8731 -2.6931
0.6508 -2.0769 -1.3955
```

---

Record 30
# CoAsRu

A relaxed structure of CoAsRu (PBE, the Alexandria database).

ΔE to the lowest computed polymorph: 535.8 meV per atom
DFT formation energy: 0.431 eV per atom

Geometry as POSCAR:
```
CoAsRu
1.0
-1.6849 -2.2974 5.8249
-1.8738 -4.3910 3.9479
2.2681 0.0489 1.6721
As Co Ru
1 1 1
Cartesian
-3.5366 -6.6628 9.7420
0.2954 -2.2320 4.4145
-1.6082 -4.4331 7.0611
```